Entry 1:
The following is a DFT calculation (PBE) of HfPaSe2 after structural relaxation.

Output
volume	25.05	A^3/atom
size of the total moment	1.26	μB per cell
crystal system	trigonal
formation energy without anion corrections	-0.69	eV per atom

a b c (Å): 3.5398 3.5398 9.4578
angles (deg): 79.21 79.21 60.00
Fractional positions:
Pa 0.0000 0.0000 0.0000
Se 0.8953 0.8953 0.3141
Se 0.1047 0.1047 0.6859
Hf 0.5000 0.5000 0.5000

***

Entry 2:
The following is a DFT calculation (PBE) of HfPaSe after structural relaxation.

Output
volume	23.08	A^3/atom
size of the total moment	0.83	μB per cell
crystal system	trigonal
formation energy without anion corrections	-0.57	eV per atom

a b c (Å): 3.4306 3.4306 6.7933
angles (deg): 90.00 90.00 120.00
Fractional positions:
Hf 0.3333 0.6667 0.6278
Se 0.6667 0.3333 0.3548
Pa 0.0000 0.0000 0.0174

***

Entry 3:
The following is a DFT calculation (PBE) of HfPaSe2 after structural relaxation.

Output
volume	21.81	A^3/atom
size of the total moment	0.00	μB per cell
crystal system	trigonal
formation energy without anion corrections	-1.00	eV per atom

a b c (Å): 3.7082 3.7082 7.6317
angles (deg): 75.94 75.94 60.00
Fractional positions:
Se 0.0752 0.0752 0.7743
Se 0.2574 0.2574 0.2277
Pa 0.4974 0.4974 0.5078
Hf 0.6699 0.6699 0.9903

***

Entry 4:
The following is a DFT calculation (PBE) of HfPaSe after structural relaxation.

Output
volume	23.77	A^3/atom
size of the total moment	0.00	μB per cell
crystal system	monoclinic
formation energy without anion corrections	-0.60	eV per atom

a b c (Å): 5.6227 7.4317 8.9409
angles (deg): 130.22 90.00 90.00
Fractional positions:
Pa 0.5006 0.7765 0.5735
Pa 0.5006 0.2776 0.0750
Pa 0.0006 0.2235 0.4265
Pa 0.0006 0.7224 0.9250
Hf 0.0007 0.1829 0.7731
Hf 0.5007 0.8171 0.2269
Hf 0.0007 0.6826 0.2721
Hf 0.5007 0.3174 0.7279
Se 0.0006 0.2203 0.0937
Se 0.5006 0.7797 0.9063
Se 0.5006 0.2795 0.4070
Se 0.0006 0.7205 0.5930

***

Entry 5:
The following is a DFT calculation (PBE) of HfPaSe6 after structural relaxation.

Output
volume	37.94	A^3/atom
size of the total moment	0.00	μB per cell
crystal system	cubic
formation energy without anion corrections	-0.72	eV per atom

a b c (Å): 7.5431 7.5431 7.5431
angles (deg): 60.00 60.00 60.00
Fractional positions:
Pa 0.5000 0.5000 0.5000
Se 0.7547 0.7547 0.2453
Se 0.7547 0.2453 0.2453
Se 0.2453 0.7547 0.2453
Se 0.7547 0.2453 0.7547
Se 0.2453 0.7547 0.7547
Se 0.2453 0.2453 0.7547
Hf 0.0000 0.0000 0.0000

***

Entry 6:
The following is a DFT calculation (PBE) of HfPaSe2 after structural relaxation.

Output
volume	23.94	A^3/atom
size of the total moment	0.00	μB per cell
crystal system	orthorhombic
formation energy without anion corrections	-0.80	eV per atom

a b c (Å): 5.5153 9.9840 6.9568
angles (deg): 90.00 90.00 90.00
Fractional positions:
Pa 0.9432 0.6068 0.3799
Pa 0.4432 0.3932 0.6201
Pa 0.4432 0.8932 0.8799
Pa 0.9432 0.1068 0.1201
Se 0.9433 0.8906 0.3825
Se 0.4432 0.6304 0.3752
Se 0.9432 0.8696 0.8752
Se 0.4433 0.6094 0.8825
Se 0.4433 0.1094 0.6175
Se 0.9433 0.3906 0.1175
Se 0.9432 0.3696 0.6248
Se 0.4432 0.1304 0.1248
Hf 0.9433 0.0958 0.6364
Hf 0.4433 0.4042 0.1364
Hf 0.9433 0.5958 0.8636
Hf 0.4433 0.9042 0.3636